[1]
VASP calculation (PBE) on a relaxed structure of Na2SiHg.

Cell lengths 5.055, 5.055, 5.055 Å; angles 60.00, 60.00, 60.00 degrees
Positions (direct):
Na  0.250  0.250  0.250
Na  0.750  0.750  0.750
Si  0.000  0.000  0.000
Hg  0.500  0.500  0.500

Values from the calculation:
distance to the lowest polymorph of the same formula: 0 meV/atom
formation energy from raw total energies: 0.1633 eV/atom
space-group type: No. 225

[2]
VASP calculation (PBE) on a relaxed structure of VCo3H.

Cell lengths 7.684, 7.684, 7.684 Å; angles 153.49, 152.76, 38.38 degrees
Positions (direct):
V  0.320  0.070  0.250
V  0.680  0.930  0.750
Co  0.065  0.815  0.250
Co  0.188  0.438  0.750
Co  0.433  0.683  0.750
Co  0.567  0.317  0.250
Co  0.812  0.562  0.250
Co  0.935  0.185  0.750
H  0.060  0.310  0.750
H  0.940  0.690  0.250

Values from the calculation:
distance to the lowest polymorph of the same formula: 72 meV/atom
space-group type: No. 74

[3]
VASP calculation (PBE) on a relaxed structure of Ac3NiHgRh.

Cell lengths 9.490, 4.268, 9.716 Å; angles 90.00, 107.22, 90.00 degrees
Positions (direct):
Ac  0.003  0.250  0.266
Ac  0.304  0.750  0.119
Ac  0.352  0.750  0.566
Ac  0.648  0.250  0.434
Ac  0.696  0.250  0.881
Ac  0.997  0.750  0.734
Ni  0.052  0.250  0.971
Ni  0.948  0.750  0.029
Hg  0.295  0.250  0.831
Hg  0.705  0.750  0.169
Rh  0.324  0.250  0.341
Rh  0.676  0.750  0.659

Values from the calculation:
space-group type: No. 11
ΔH_f (0 K): -0.49 eV per atom

Number 1: raw total energy -1.927 eV/atom, total magnetization 0.0 μB/f.u.. Number 2: raw total energy -6.835 eV/atom, total magnetization 1.0 μB/f.u.. Number 3: raw total energy -4.784 eV/atom, total magnetization 0.0 μB/f.u..